Record 1
The following is a PBE-GGA calculation of a relaxed LiTbSmBe crystal, from Alexandria via LeMat-Bulk.

Output
D(E_F): 21.2 states/eV/cell
Total magnetic moment: 0.0 μB/f.u.
Energy of formation: 0.60 eV/f.u.

Lattice parameters (Å, degrees): 7.136 7.136 7.136 90.00 90.00 90.00
Space group F-43m (No. 216)
One atom of each set of equivalent atoms:
Li  0.000  0.000  0.000
Tb  0.250  0.250  0.250
Sm  0.250  0.250  0.750
Be  0.000  0.000  0.500

Record 2
The following is a PBE-GGA calculation of a relaxed LiSmTmBe crystal, from Alexandria via LeMat-Bulk.

Output
D(E_F): 18.3 states/eV/cell
Total magnetic moment: 0.0 μB/f.u.
Energy of formation: 0.57 eV/f.u.

Lattice parameters (Å, degrees): 7.073 7.073 7.073 90.00 90.00 90.00
Space group F-43m (No. 216)
One atom of each set of equivalent atoms:
Li  0.000  0.000  0.000
Sm  0.250  0.250  0.250
Tm  0.250  0.250  0.750
Be  0.000  0.000  0.500

Record 3
The following is a PBE-GGA calculation of a relaxed LiSmYBe crystal, from Alexandria via LeMat-Bulk.

Output
D(E_F): 20.0 states/eV/cell
Total magnetic moment: 0.0 μB/f.u.
Energy of formation: 0.55 eV/f.u.

Lattice parameters (Å, degrees): 7.136 7.136 7.136 90.00 90.00 90.00
Space group F-43m (No. 216)
One atom of each set of equivalent atoms:
Li  0.000  0.000  0.000
Sm  0.250  0.250  0.250
Y  0.250  0.250  0.750
Be  0.000  0.000  0.500

Record 4
The following is a PBE-GGA calculation of a relaxed LiSmBeZn crystal, from Alexandria via LeMat-Bulk.

Output
D(E_F): 4.5 states/eV/cell
Total magnetic moment: 0.0 μB/f.u.
Energy of formation: -0.13 eV/f.u.

Lattice parameters (Å, degrees): 6.482 6.482 6.482 90.00 90.00 90.00
Space group F-43m (No. 216)
One atom of each set of equivalent atoms:
Li  0.000  0.000  0.000
Sm  0.250  0.250  0.750
Be  0.000  0.000  0.500
Zn  0.250  0.250  0.250

Record 5
The following is a PBE-GGA calculation of a relaxed LiBe2Sn crystal, from Alexandria via LeMat-Bulk.

Output
D(E_F): 6.9 states/eV/cell
Total magnetic moment: 0.0 μB/f.u.
Energy of formation: 1.97 eV/f.u.

Lattice parameters (Å, degrees): 4.289 4.289 16.721 90.00 90.00 90.00
Space group I4_1/amd (No. 141, origin choice 2)
One atom of each set of equivalent atoms:
Li  0.000  0.250  0.375
Be  0.000  0.000  0.000
Sn  0.000  0.250  0.875

Record 6
The following is a PBE-GGA calculation of a relaxed LiBeSn3 crystal, from Alexandria via LeMat-Bulk.

Output
D(E_F): 2.6 states/eV/cell
Total magnetic moment: 0.0 μB/f.u.
Energy of formation: 1.22 eV/f.u.
E above lowest polymorph: 0 meV per atom

Lattice parameters (Å, degrees): 4.994 4.994 4.994 90.00 90.00 90.00
Space group Pm-3m (No. 221)
One atom of each set of equivalent atoms:
Li  0.000  0.000  0.000
Be  0.500  0.500  0.500
Sn  0.000  0.500  0.500